*P*
# PBE KSc2Br, optimized geometry
# - Fermi-level density of states: 4.1 states/eV per cell
data_KSc2Br
_chemical_formula_sum 'K1 Sc2 Br1'
_symmetry_space_group_name_H-M 'P m m m'
_symmetry_Int_Tables_number 47
_symmetry_space_group_name_Hall '-P 2 2'
_cell_length_a 3.593
_cell_length_b 5.226
_cell_length_c 6.884
_cell_angle_alpha 90.00
_cell_angle_beta 90.00
_cell_angle_gamma 90.00
loop_
_atom_site_label
_atom_site_type_symbol
_atom_site_fract_x
_atom_site_fract_y
_atom_site_fract_z
_atom_site_occupancy
K1 K 0.000 0.000 0.000 1
Sc1 Sc 0.000 0.500 0.500 1
Sc2 Sc 0.500 0.000 0.500 1
Br1 Br 0.500 0.500 0.000 1

*Q*
# PBE KSc2Br, optimized geometry
# - Fermi-level density of states: 15.1 states/eV per cell
data_KSc2Br
_chemical_formula_sum 'K3 Sc6 Br3'
_symmetry_space_group_name_H-M 'R -3 m'
_symmetry_Int_Tables_number 166
_symmetry_space_group_name_Hall '-R 3 2"'
_cell_length_a 3.4976
_cell_length_b 3.4976
_cell_length_c 33.1982
_cell_angle_alpha 90.00
_cell_angle_beta 90.00
_cell_angle_gamma 120.00
loop_
_atom_site_label
_atom_site_type_symbol
_atom_site_fract_x
_atom_site_fract_y
_atom_site_fract_z
_atom_site_occupancy
K1 K 0.0000 0.0000 0.0000 1
Sc1 Sc 0.0000 0.0000 0.2316 1
Br1 Br 0.0000 0.0000 0.5000 1

Least stable of them? *P*.

*P*
# PBE KSc2Br, optimized geometry
# - Fermi-level density of states: 3.9 states/eV per cell
data_KSc2Br
_chemical_formula_sum 'K1 Sc2 Br1'
_symmetry_space_group_name_H-M 'P 4/m m m'
_symmetry_Int_Tables_number 123
_symmetry_space_group_name_Hall '-P 4 2'
_cell_length_a 3.402
_cell_length_b 3.402
_cell_length_c 10.178
_cell_angle_alpha 90.00
_cell_angle_beta 90.00
_cell_angle_gamma 90.00
loop_
_atom_site_label
_atom_site_type_symbol
_atom_site_fract_x
_atom_site_fract_y
_atom_site_fract_z
_atom_site_occupancy
K1 K 0.000 0.000 0.000 1
Sc1 Sc 0.500 0.500 0.326 1
Br1 Br 0.000 0.000 0.500 1

*Q*
# PBE KSc2Br, optimized geometry
# - Fermi-level density of states: 12.2 states/eV per cell
data_KSc2Br
_chemical_formula_sum 'K2 Sc4 Br2'
_symmetry_space_group_name_H-M 'I -4 m 2'
_symmetry_Int_Tables_number 119
_symmetry_space_group_name_Hall 'I -4 -2'
_cell_length_a 4.863
_cell_length_b 4.863
_cell_length_c 10.199
_cell_angle_alpha 90.00
_cell_angle_beta 90.00
_cell_angle_gamma 90.00
loop_
_atom_site_label
_atom_site_type_symbol
_atom_site_fract_x
_atom_site_fract_y
_atom_site_fract_z
_atom_site_occupancy
K1 K 0.000 0.000 0.000 1
Sc1 Sc 0.000 0.000 0.500 1
Sc2 Sc 0.000 0.500 0.750 1
Br1 Br 0.000 0.500 0.250 1

Least stable of them? *Q*.

*P*
# PBE KSc2Br, optimized geometry
# - Fermi-level density of states: 4.7 states/eV per cell
data_KSc2Br
_chemical_formula_sum 'K1 Sc2 Br1'
_symmetry_space_group_name_H-M 'P 1 m 1'
_symmetry_Int_Tables_number 6
_symmetry_space_group_name_Hall 'P -2y'
_cell_length_a 3.583
_cell_length_b 3.486
_cell_length_c 9.975
_cell_angle_alpha 90.00
_cell_angle_beta 100.31
_cell_angle_gamma 90.00
loop_
_atom_site_label
_atom_site_type_symbol
_atom_site_fract_x
_atom_site_fract_y
_atom_site_fract_z
_atom_site_occupancy
K1 K 0.000 0.000 0.000 1
Sc1 Sc 0.328 0.500 0.660 1
Sc2 Sc 0.724 0.000 0.452 1
Br1 Br 0.611 0.500 0.224 1

*Q*
# PBE KSc2Br, optimized geometry
# - Fermi-level density of states: 8.7 states/eV per cell
data_KSc2Br
_chemical_formula_sum 'K2 Sc4 Br2'
_symmetry_space_group_name_H-M 'I m m 2'
_symmetry_Int_Tables_number 44
_symmetry_space_group_name_Hall 'I 2 -2'
_cell_length_a 3.445
_cell_length_b 6.995
_cell_length_c 11.392
_cell_angle_alpha 90.00
_cell_angle_beta 90.00
_cell_angle_gamma 90.00
loop_
_atom_site_label
_atom_site_type_symbol
_atom_site_fract_x
_atom_site_fract_y
_atom_site_fract_z
_atom_site_occupancy
K1 K 0.000 0.000 0.000 1
Sc1 Sc 0.000 0.000 0.565 1
Sc2 Sc 0.000 0.500 0.839 1
Br1 Br 0.000 0.500 0.252 1

*R*
# PBE KSc2Br, optimized geometry
# - Fermi-level density of states: 4.1 states/eV per cell
data_KSc2Br
_chemical_formula_sum 'K1 Sc2 Br1'
_symmetry_space_group_name_H-M 'P m m m'
_symmetry_Int_Tables_number 47
_symmetry_space_group_name_Hall '-P 2 2'
_cell_length_a 3.371
_cell_length_b 6.069
_cell_length_c 6.331
_cell_angle_alpha 90.00
_cell_angle_beta 90.00
_cell_angle_gamma 90.00
loop_
_atom_site_label
_atom_site_type_symbol
_atom_site_fract_x
_atom_site_fract_y
_atom_site_fract_z
_atom_site_occupancy
K1 K 0.000 0.000 0.000 1
Sc1 Sc 0.500 0.246 0.500 1
Br1 Br 0.000 0.500 0.000 1

Least stable of them? *R*.

*P*
# PBE KSc2Br, optimized geometry
# - Fermi-level density of states: 22.1 states/eV per cell
data_KSc2Br
_chemical_formula_sum 'K4 Sc8 Br4'
_symmetry_space_group_name_H-M 'F -4 3 m'
_symmetry_Int_Tables_number 216
_symmetry_space_group_name_Hall 'F -4 2 3'
_cell_length_a 7.952
_cell_length_b 7.952
_cell_length_c 7.952
_cell_angle_alpha 90.00
_cell_angle_beta 90.00
_cell_angle_gamma 90.00
loop_
_atom_site_label
_atom_site_type_symbol
_atom_site_fract_x
_atom_site_fract_y
_atom_site_fract_z
_atom_site_occupancy
K1 K 0.000 0.000 0.000 1
Sc1 Sc 0.000 0.000 0.500 1
Sc2 Sc 0.250 0.250 0.250 1
Br1 Br 0.250 0.250 0.750 1

*Q*
# PBE KSc2Br, optimized geometry
# - Fermi-level density of states: 26.7 states/eV per cell
data_KSc2Br
_chemical_formula_sum 'K4 Sc8 Br4'
_symmetry_space_group_name_H-M 'F m -3 m'
_symmetry_Int_Tables_number 225
_symmetry_space_group_name_Hall '-F 4 2 3'
_cell_length_a 7.737
_cell_length_b 7.737
_cell_length_c 7.737
_cell_angle_alpha 90.00
_cell_angle_beta 90.00
_cell_angle_gamma 90.00
loop_
_atom_site_label
_atom_site_type_symbol
_atom_site_fract_x
_atom_site_fract_y
_atom_site_fract_z
_atom_site_occupancy
K1 K 0.000 0.000 0.000 1
Sc1 Sc 0.250 0.250 0.250 1
Br1 Br 0.000 0.000 0.500 1

Least stable of them? *Q*.